Density functional theory data (PBE) for CsPrBiSe3 after structural relaxation.

Computed properties:
Total magnetic moment: 0.005 μB per formula unit
Energy: -105.02 eV/cell
Mass density: 5.4 g cm⁻³

a = 4.446 Å, b = 16.992 Å, c = 11.679 Å
α = 90.00°, β = 90.00°, γ = 90.00°
Space group Cmcm (No. 63)
Asymmetric unit:
Cs 0.000 0.248 0.250 x4
Pr 0.000 0.500 0.000 x4
Bi 0.000 0.044 0.750 x4
Se 0.000 0.119 0.531 x8
Se 0.000 0.422 0.750 x4

***

Density functional theory data (PBE) for Cs2Rb2ZnBi2 after structural relaxation.

Computed properties:
Energy: -46.89 eV/cell
Energy relative to the lowest polymorph listed for this composition: 2 meV per atom
Mass density: 4.1 g cm⁻³

a = 6.5311 Å, b = 6.5311 Å, c = 30.0267 Å
α = 90.00°, β = 90.00°, γ = 120.00°
Space group R-3m (No. 166, hexagonal axes)
Asymmetric unit:
Cs 0.0000 0.0000 0.1232 x6
Rb 0.0000 0.0000 0.2906 x6
Zn 0.0000 0.0000 0.5000 x3
Bi 0.0000 0.0000 0.4135 x6

***

Density functional theory data (PBE) for Cs2Rb2ZnBi2 after structural relaxation.

Computed properties:
Energy: -46.93 eV/cell
Energy relative to the lowest polymorph listed for this composition: 0 meV per atom
Mass density: 4.0 g cm⁻³

a = 6.4901 Å, b = 6.4901 Å, c = 31.4051 Å
α = 90.00°, β = 90.00°, γ = 120.00°
Space group R-3m (No. 166, hexagonal axes)
Asymmetric unit:
Cs 0.0000 0.0000 0.2088 x6
Rb 0.0000 0.0000 0.3778 x6
Zn 0.0000 0.0000 0.0000 x3
Bi 0.0000 0.0000 0.0829 x6

***

Density functional theory data (PBE) for CsRbZn2Bi2 after structural relaxation.

Computed properties:
Energy: -13.97 eV/cell
Mass density: 5.9 g cm⁻³

a = 4.947 Å, b = 4.947 Å, c = 8.841 Å
α = 90.00°, β = 90.00°, γ = 90.00°
Space group P4mm (No. 99)
Asymmetric unit:
Cs 0.000 0.000 0.000 x1
Rb 0.500 0.500 0.655 x1
Zn 0.000 0.500 0.336 x2
Bi 0.000 0.000 0.514 x1
Bi 0.500 0.500 0.161 x1

***

Density functional theory data (PBE) for CsRe3Bi5 after structural relaxation.

Computed properties:
Total magnetic moment: 4.163 μB per formula unit
Energy: -54.02 eV/cell
Mass density: 10.6 g cm⁻³

a = 5.8707 Å, b = 5.8707 Å, c = 9.1074 Å
α = 90.00°, β = 90.00°, γ = 120.00°
Space group P6/mmm (No. 191)
Asymmetric unit:
Cs 0.0000 0.0000 0.0000 x1
Re 0.0000 0.5000 0.5000 x3
Bi 0.0000 0.0000 0.5000 x1
Bi 0.3333 0.6667 0.2467 x4

***

Density functional theory data (PBE) for CsZnBiS3 after structural relaxation.

Computed properties:
Energy: -92.96 eV/cell
Mass density: 4.8 g cm⁻³

a = 4.104 Å, b = 15.529 Å, c = 10.904 Å
α = 90.00°, β = 90.00°, γ = 90.00°
Space group Cmcm (No. 63)
Asymmetric unit:
Cs 0.000 0.238 0.250 x4
Zn 0.000 0.042 0.750 x4
Bi 0.000 0.500 0.000 x4
S 0.000 0.118 0.565 x8
S 0.000 0.451 0.750 x4